Entry from Alexandria via LeMat-Bulk: an optimized crystal structure of Nb2HPtAu (PBE).

Cell: 4.1608 4.1608 4.1060 Å, 90.00 90.00 90.00°
Atoms (fractional coordinates):
H (0.0000, 0.0000, 0.0000)
Nb (0.0000, 0.5000, 0.0000)
Nb (0.5000, 0.0000, 0.0000)
Au (0.5000, 0.5000, 0.5000)
Pt (0.0000, 0.0000, 0.5000)

Computed properties:
Crystal system: tetragonal
Energy in eV/cell: -34.060
Polymorph energy (0 for the lowest one) in eV/atom: 0.000
N(E_F) in states/eV per cell: 2.5
SG: P4/mmm
Spin magnetization in μB/f.u.: 0.00